Density functional theory data (GGA-PBE) for CuRuBr2 after structural relaxation.

Structure (POSCAR):
```
CuRuBr2
1.0
-5.316 -3.274 1.861
-0.665 -5.334 3.681
2.017 6.111 -1.015
Ru Br Cu
1 2 1
direct
0.241 0.741 0.500
0.063 0.063 0.000
0.776 0.276 0.500
0.419 0.419 0.000
```

Electronic total energy ... -3.637 eV/atom
Uncorrected formation energy ... 209 kJ/mol of formula units